1.
Entry from Alexandria via LeMat-Bulk: crystalline Fe4TeCl at its relaxed geometry (PBE).

Results
As for the total magnetic moment: 12.7 μB/f.u. Its crystal system is cubic. The density of states at the Fermi level comes out at 0.800 states/eV/atom. The value obtained for the formation energy without anion corrections is 0.49 eV per atom.

Cell: 5.170 5.170 5.170 Å, 60.00 60.00 60.00°
Fractional positions:
Fe 0.874 0.375 0.375
Fe 0.375 0.375 0.874
Fe 0.375 0.874 0.375
Fe 0.375 0.375 0.375
Te 0.750 0.750 0.750
Cl 0.000 0.000 0.000



2.
Entry from Alexandria via LeMat-Bulk: crystalline ZnIr2RuW at its relaxed geometry (PBE).

Results
As for the total magnetic moment: 0.0 μB/f.u. Its crystal system is tetragonal. The formation energy is 1.8066 eV/atom. The density of states at the Fermi level comes out at 1.336 states/eV/atom.

Cell: 4.400 4.526 4.400 Å, 90.00 90.00 90.00°
Fractional positions:
Ru 0.500 0.500 0.500
Zn 0.000 0.000 0.000
Ir 0.000 0.000 0.500
Ir 0.500 0.000 0.000
W 0.000 0.500 0.000



3.
Entry from Alexandria via LeMat-Bulk: crystalline Fe2RuW2 at its relaxed geometry (PBE).

Results
As for the total magnetic moment: 0.0 μB/f.u. Its crystal system is tetragonal. The formation energy is 0.1712 eV/atom. The density of states at the Fermi level comes out at 1.330 states/eV/atom.

Cell: 6.825 6.825 2.906 Å, 90.00 90.00 90.00°
Fractional positions:
Ru 0.000 0.000 0.000
Ru 0.500 0.500 0.000
Fe 0.373 0.873 0.000
Fe 0.873 0.627 0.000
Fe 0.627 0.127 0.000
Fe 0.127 0.373 0.000
W 0.173 0.673 0.500
W 0.673 0.827 0.500
W 0.827 0.327 0.500
W 0.327 0.173 0.500



4.
Entry from Alexandria via LeMat-Bulk: crystalline ZrZnP at its relaxed geometry (PBE).

Results
As for the total magnetic moment: 0.0 μB/f.u. Its crystal system is trigonal. The formation energy is -0.0723 eV/atom. The density of states at the Fermi level comes out at 0.591 states/eV/atom.

Cell: 3.127 3.127 6.436 Å, 90.00 90.00 120.00°
Fractional positions:
Zr 0.333 0.667 0.683
Zn 0.667 0.333 0.309
P 0.000 0.000 0.008



5.
Entry from Alexandria via LeMat-Bulk: crystalline LaFeRu2 at its relaxed geometry (PBE).

Results
As for the total magnetic moment: 4.1 μB/f.u. Its crystal system is cubic. The formation energy is 0.3729 eV/atom. The density of states at the Fermi level comes out at 1.038 states/eV/atom. The excess energy over the best structure of this formula in the dataset comes out at 6.70 kcal/mol of atoms.

Cell: 4.609 4.609 4.609 Å, 120.00 120.00 90.00°
Fractional positions:
Fe 0.500 0.500 0.000
La 0.750 0.250 0.500
Ru 0.000 0.000 0.000
Ru 0.250 0.750 0.500



6.
Entry from Alexandria via LeMat-Bulk: crystalline PrNd2Au4 at its relaxed geometry (PBE).

Results
As for the total magnetic moment: 0.0 μB/f.u. Its crystal system is tetragonal. The formation energy is -0.2231 eV/atom. The density of states at the Fermi level comes out at 0.719 states/eV/atom. The excess energy over the best structure of this formula in the dataset comes out at 9.54 kcal/mol of atoms.

Cell: 5.488 5.488 8.532 Å, 108.76 108.76 90.00°
Fractional positions:
Pr 0.000 0.000 0.000
Nd 0.618 0.618 0.235
Nd 0.382 0.382 0.765
Au 0.809 0.809 0.618
Au 0.191 0.191 0.382
Au 0.000 0.500 0.000
Au 0.500 0.000 0.000



7.
Entry from Alexandria via LeMat-Bulk: crystalline KTa2Ni at its relaxed geometry (PBE).

Results
As for the total magnetic moment: 0.0 μB/f.u. Its crystal system is orthorhombic. The formation energy is 1.1858 eV/atom. The density of states at the Fermi level comes out at 1.098 states/eV/atom. The excess energy over the best structure of this formula in the dataset comes out at 15.89 kcal/mol of atoms.

Cell: 2.894 4.935 5.468 Å, 90.00 90.00 90.00°
Fractional positions:
K 0.500 0.000 0.500
Ni 0.000 0.500 0.500
Ta 0.000 0.000 0.000
Ta 0.500 0.500 0.000



8.
Entry from Alexandria via LeMat-Bulk: crystalline La3Dy2Er6Pu at its relaxed geometry (PBE).

Results
As for the total magnetic moment: 6.6 μB/f.u. Its crystal system is monoclinic. The formation energy is 0.0449 eV/atom. The density of states at the Fermi level comes out at 1.798 states/eV/atom.

Cell: 6.177 6.177 11.707 Å, 95.05 95.05 120.02°
Fractional positions:
La 0.167 0.833 0.500
La 0.833 0.167 0.500
La 0.500 0.500 0.500
Dy 0.333 0.667 0.000
Dy 0.667 0.333 0.000
Er 0.919 0.590 0.757
Er 0.752 0.752 0.243
Er 0.081 0.410 0.243
Er 0.590 0.919 0.757
Er 0.248 0.248 0.757
Er 0.410 0.081 0.243
Pu 0.000 0.000 0.000



9.
Entry from Alexandria via LeMat-Bulk: crystalline Tb4Sn6Rh7 at its relaxed geometry (PBE).

Results
As for the total magnetic moment: 0.0 μB/f.u. Its crystal system is cubic. The formation energy is -0.8131 eV/atom. The density of states at the Fermi level comes out at 0.600 states/eV/atom.

Cell: 7.618 7.618 7.618 Å, 109.47 109.47 109.47°
Fractional positions:
Tb 0.500 0.000 0.000
Tb 0.500 0.500 0.500
Tb 0.000 0.500 0.000
Tb 0.000 0.000 0.500
Sn 0.684 0.000 0.684
Sn 0.684 0.684 0.000
Sn 0.000 0.316 0.316
Sn 0.316 0.000 0.316
Sn 0.316 0.316 0.000
Sn 0.000 0.684 0.684
Rh 0.750 0.500 0.250
Rh 0.250 0.750 0.500
Rh 0.500 0.750 0.250
Rh 0.750 0.250 0.500
Rh 0.250 0.500 0.750
Rh 0.500 0.250 0.750
Rh 0.000 0.000 0.000



10.
Entry from Alexandria via LeMat-Bulk: crystalline TbPrErZn at its relaxed geometry (PBE).

Results
As for the total magnetic moment: 0.0 μB/f.u. Its crystal system is cubic. The formation energy is 0.0328 eV/atom. The density of states at the Fermi level comes out at 1.252 states/eV/atom. The excess energy over the best structure of this formula in the dataset comes out at 4.52 kcal/mol of atoms.

Cell: 5.400 5.400 5.400 Å, 60.00 60.00 60.00°
Fractional positions:
Pr 0.750 0.750 0.750
Zn 0.000 0.000 0.000
Tb 0.250 0.250 0.250
Er 0.500 0.500 0.500



11.
Entry from Alexandria via LeMat-Bulk: crystalline RbLi3Pu4O12 at its relaxed geometry (PBE).

Results
As for the total magnetic moment: 12.0 μB/f.u. Its crystal system is cubic. The density of states at the Fermi level comes out at 0.748 states/eV/atom. The value obtained for the formation energy without anion corrections is -2.53 eV per atom.

Cell: 7.041 7.041 7.041 Å, 109.47 109.47 109.47°
Fractional positions:
Rb 0.000 0.000 0.000
Li 0.000 0.500 0.500
Li 0.500 0.500 0.000
Li 0.500 0.000 0.500
Pu 0.500 0.000 0.000
Pu 0.500 0.500 0.500
Pu 0.000 0.500 0.000
Pu 0.000 0.000 0.500
O 0.306 0.814 0.119
O 0.694 0.186 0.881
O 0.694 0.814 0.508
O 0.881 0.694 0.186
O 0.814 0.119 0.306
O 0.186 0.492 0.306
O 0.492 0.306 0.186
O 0.186 0.881 0.694
O 0.306 0.186 0.492
O 0.119 0.306 0.814
O 0.814 0.508 0.694
O 0.508 0.694 0.814



12.
Entry from Alexandria via LeMat-Bulk: crystalline Ce2ErNb at its relaxed geometry (PBE).

Results
As for the total magnetic moment: 0.0 μB/f.u. Its crystal system is tetragonal. The formation energy is 0.2399 eV/atom. The density of states at the Fermi level comes out at 2.463 states/eV/atom.

Cell: 3.537 3.537 8.421 Å, 90.00 90.00 90.00°
Fractional positions:
Nb 0.500 0.500 0.000
Ce 0.000 0.000 0.785
Ce 0.000 0.000 0.215
Er 0.500 0.500 0.500



13.
Entry from Alexandria via LeMat-Bulk: crystalline NbFeHRh2 at its relaxed geometry (PBE).

Results
As for the total magnetic moment: 1.9 μB/f.u. Its crystal system is tetragonal. The density of states at the Fermi level comes out at 0.382 states/eV/atom. The excess energy over the best structure of this formula in the dataset comes out at 1.13 kcal/mol of atoms.

Cell: 3.880 3.880 4.016 Å, 90.00 90.00 90.00°
Fractional positions:
H 0.000 0.000 0.000
Nb 0.000 0.000 0.500
Rh 0.000 0.500 0.000
Rh 0.500 0.000 0.000
Fe 0.500 0.500 0.500



14.
Entry from Alexandria via LeMat-Bulk: crystalline ScRu2Pt at its relaxed geometry (PBE).

Results
As for the total magnetic moment: 0.0 μB/f.u. Its crystal system is tetragonal. The formation energy is -0.3001 eV/atom. The density of states at the Fermi level comes out at 1.046 states/eV/atom.

Cell: 4.861 4.861 4.861 Å, 132.00 131.97 70.25°
Fractional positions:
Pt 0.750 0.250 0.500
Ru 0.000 0.000 0.000
Ru 0.500 0.500 0.000
Sc 0.250 0.750 0.500



15.
Entry from Alexandria via LeMat-Bulk: crystalline La6SmTm2Sc at its relaxed geometry (PBE).

Results
As for the total magnetic moment: 0.0 μB/f.u. Its crystal system is monoclinic. The formation energy is 0.1857 eV/atom. The density of states at the Fermi level comes out at 1.833 states/eV/atom.

Cell: 8.816 7.184 6.732 Å, 122.25 103.42 90.00°
Fractional positions:
La 0.433 0.638 0.277
La 0.205 0.050 0.656
La 0.795 0.394 0.344
La 0.205 0.606 0.656
La 0.795 0.950 0.344
La 0.567 0.362 0.723
Sm 0.000 0.500 0.000
Tm 0.176 0.092 0.184
Tm 0.824 0.908 0.816
Sc 0.500 0.000 0.000



16.
Entry from Alexandria via LeMat-Bulk: crystalline Hg5Pd6Au at its relaxed geometry (PBE).

Results
As for the total magnetic moment: 0.0 μB/f.u. Its crystal system is monoclinic. The formation energy is -0.1690 eV/atom. The density of states at the Fermi level comes out at 0.244 states/eV/atom.

Cell: 4.333 7.829 7.829 Å, 111.76 106.29 106.29°
Fractional positions:
Au 0.000 0.000 0.000
Hg 0.500 0.162 0.838
Hg 0.000 0.332 0.668
Hg 0.500 0.500 0.500
Hg 0.000 0.668 0.332
Hg 0.500 0.838 0.162
Pd 0.251 0.084 0.418
Pd 0.749 0.582 0.916
Pd 0.752 0.252 0.252
Pd 0.248 0.748 0.748
Pd 0.251 0.418 0.084
Pd 0.749 0.916 0.582



17.
Entry from Alexandria via LeMat-Bulk: crystalline PrEr6Te8 at its relaxed geometry (PBE).

Results
As for the total magnetic moment: 0.0 μB/f.u. Its crystal system is cubic. The density of states at the Fermi level comes out at 0.431 states/eV/atom. The excess energy over the best structure of this formula in the dataset comes out at 0.00 kcal/mol of atoms. The value obtained for the formation energy without anion corrections is -1.32 eV per atom.

Cell: 8.629 8.629 8.629 Å, 60.00 60.00 60.00°
Fractional positions:
Pr 0.000 0.000 0.000
Er 0.000 0.500 0.500
Er 0.500 0.000 0.000
Er 0.500 0.500 0.000
Er 0.000 0.000 0.500
Er 0.000 0.500 0.000
Er 0.500 0.000 0.500
Te 0.750 0.750 0.750
Te 0.250 0.250 0.250
Te 0.736 0.264 0.264
Te 0.264 0.736 0.736
Te 0.264 0.264 0.736
Te 0.736 0.736 0.264
Te 0.736 0.264 0.736
Te 0.264 0.736 0.264



18.
Entry from Alexandria via LeMat-Bulk: crystalline AgOsBr6 at its relaxed geometry (PBE).

Results
As for the total magnetic moment: 3.0 μB/f.u. Its crystal system is monoclinic. The density of states at the Fermi level comes out at 0.276 states/eV/atom. The excess energy over the best structure of this formula in the dataset comes out at 0.00 kcal/mol of atoms. The value obtained for the formation energy without anion corrections is -0.15 eV per atom.

Cell: 6.945 6.945 11.080 Å, 87.86 87.86 84.45°
Fractional positions:
Ag 0.980 0.020 0.250
Ag 0.020 0.980 0.750
Os 0.000 0.500 0.500
Os 0.500 0.000 0.000
Br 0.163 0.792 0.426
Br 0.837 0.208 0.574
Br 0.208 0.837 0.074
Br 0.792 0.163 0.926
Br 0.965 0.407 0.285
Br 0.035 0.593 0.715
Br 0.593 0.035 0.215
Br 0.407 0.965 0.785
Br 0.311 0.315 0.006
Br 0.689 0.685 0.994
Br 0.685 0.689 0.494
Br 0.315 0.311 0.506



19.
Entry from Alexandria via LeMat-Bulk: crystalline CaCuBi at its relaxed geometry (PBE).

Results
As for the total magnetic moment: 0.0 μB/f.u. Its crystal system is trigonal. The formation energy is -0.4318 eV/atom. The density of states at the Fermi level comes out at 0.065 states/eV/atom.

Cell: 8.407 4.718 4.721 Å, 120.02 89.99 73.72°
Fractional positions:
Ca 0.506 0.529 0.938
Ca 0.006 0.529 0.438
Bi 0.261 0.026 0.686
Bi 0.752 0.032 0.189
Cu 0.372 0.286 0.316
Cu 0.640 0.773 0.559



20.
Entry from Alexandria via LeMat-Bulk: crystalline SrAg3Bi at its relaxed geometry (PBE).

Results
As for the total magnetic moment: 0.0 μB/f.u. Its crystal system is cubic. The formation energy is 0.1794 eV/atom. The density of states at the Fermi level comes out at 0.596 states/eV/atom. The excess energy over the best structure of this formula in the dataset comes out at 0.00 kcal/mol of atoms.

Cell: 5.477 5.477 5.477 Å, 90.00 90.00 90.00°
Fractional positions:
Sr 0.500 0.500 0.500
Bi 0.000 0.000 0.000
Ag 0.000 0.500 0.000
Ag 0.000 0.000 0.500
Ag 0.500 0.000 0.000



Calculated volume: 97.7, 87.6, 135.4, 54.5, 69.2, 228.8, 78.1, 380.7, 340.3, 111.4, 268.7, 105.4, 60.5, 62.2, 346.8, 213.6, 454.3, 531.2, 153.4, 164.3 (Å³/cell)